Computed, not measured: a relaxed structure of AgSb2TeAs at the PBE level of DFT.

Results
- crystal system = tetragonal
- DFT total energy (eV per formula unit) = -14.72
- uncorrected formation energy (meV per atom) = 834.4
- M_tot (Bohr magnetons per cell) = 0.0

Cell and atoms, written as CIF:
```
data_AgSb2TeAs
_chemical_formula_sum 'Ag1 Sb2 Te1 As1'
_cell_length_a 5.314
_cell_length_b 5.314
_cell_length_c 5.388
_cell_angle_alpha 90.00
_cell_angle_beta 90.00
_cell_angle_gamma 90.00
_symmetry_space_group_name_H-M 'P 4/m m m'
_symmetry_Int_Tables_number 123
_symmetry_space_group_name_Hall '-P 4 2'
loop_
_atom_site_label
_atom_site_fract_x
_atom_site_fract_y
_atom_site_fract_z
Ag1 0.000 0.000 0.000
Sb1 0.000 0.500 0.000
Te1 0.000 0.000 0.500
As1 0.500 0.500 0.500
```